No. 1
Compound: CdHg2As
Source: Alexandria
Functional: GGA-PBE
Structure: optimized geometry

Electronic total energy: -1.3280 eV per atom
Calculated volume: 23.4 Å³/atom
Formation enthalpy at 0 K: 214 meV per atom

CIF file:
```
data_CdHg2As
_chemical_formula_sum 'Cd2 Hg4 As2'
_space_group_name_H-M_alt 'C m m m'
_space_group_IT_number 65
_space_group_name_Hall '-C 2 2'
_cell_length_a 3.944
_cell_length_b 5.279
_cell_length_c 8.992
_cell_angle_alpha 90.00
_cell_angle_beta 90.00
_cell_angle_gamma 90.00
loop_
_atom_site_label
_atom_site_fract_x
_atom_site_fract_y
_atom_site_fract_z
_atom_site_occupancy
Cd1 0.000 0.000 0.000 1
Hg1 0.000 0.500 0.255 1
As1 0.000 0.000 0.500 1
```

***

No. 2
Compound: Cd2Hg2As
Source: Alexandria
Functional: GGA-PBE
Structure: optimized geometry

Electronic total energy: -1.2137 eV per atom
Calculated volume: 24.1 Å³/atom
Formation enthalpy at 0 K: 203 meV per atom

CIF file:
```
data_Cd2Hg2As
_chemical_formula_sum 'Cd4 Hg4 As2'
_space_group_name_H-M_alt 'P 4/m b m'
_space_group_IT_number 127
_space_group_name_Hall '-P 4 2ab'
_cell_length_a 8.478
_cell_length_b 8.478
_cell_length_c 3.352
_cell_angle_alpha 90.00
_cell_angle_beta 90.00
_cell_angle_gamma 90.00
loop_
_atom_site_label
_atom_site_fract_x
_atom_site_fract_y
_atom_site_fract_z
_atom_site_occupancy
Cd1 0.181 0.319 0.000 1
Hg1 0.124 0.624 0.500 1
As1 0.000 0.000 0.000 1
```

***

No. 3
Compound: CdHg2As
Source: Alexandria
Functional: GGA-PBE
Structure: optimized geometry

Electronic total energy: -1.4446 eV per atom
Calculated volume: 24.4 Å³/atom
Formation enthalpy at 0 K: 97 meV per atom

CIF file:
```
data_CdHg2As
_chemical_formula_sum 'Cd1 Hg2 As1'
_space_group_name_H-M_alt 'P 1 2/m 1'
_space_group_IT_number 10
_cell_length_a 3.032
_cell_length_b 5.722
_cell_length_c 5.621
_cell_angle_alpha 90.00
_cell_angle_beta 92.33
_cell_angle_gamma 90.00
loop_
_space_group_symop_operation_xyz
'x,y,z'
'-x,-y,-z'
'-x,y,-z'
'x,-y,z'
loop_
_atom_site_label
_atom_site_fract_x
_atom_site_fract_y
_atom_site_fract_z
_atom_site_occupancy
Cd1 0.000 0.000 0.000 1
Hg1 0.000 0.500 0.500 1
Hg2 0.500 0.000 0.500 1
As1 0.000 0.500 0.000 1
```